! Nd2Si3Ni, relaxed, DFT PBE; values from VASP
&SYSTEM
  ibrav = 0, nat = 6, ntyp = 3
/
ATOMIC_SPECIES
Ni 58.69 Ni.upf
Si 28.09 Si.upf
Nd 144.24 Nd.upf
CELL_PARAMETERS angstrom
-4.084 0.334 -1.105
-0.693 -3.717 1.440
-1.476 2.708 6.278
ATOMIC_POSITIONS crystal
Ni 0.500 0.500 0.328
Si 0.500 0.500 0.651
Si 0.500 0.000 0.839
Nd 0.000 0.500 0.999
Nd 0.000 0.000 0.501
Si 0.500 0.000 0.181
! Density of states at the Fermi level = 0.476 states/eV per atom
! Electronic total energy = -6.046 eV/atom
! Formation energy from raw total energies = -782 meV per atom